Entry 1:
{
  "formula": "Na2MgIn2",
  "functional": "PBE",
  "state": "optimized geometry",
  "final_energy_ev_per_cell": -10.08,
  "crystal_system": "monoclinic",
  "delta_e_f_mev_per_atom": -73,
  "de_polymorph_ev_per_fu": 0.000,
  "lattice": [[-3.627, -1.326, 2.995], [-3.258, -3.803, -1.641], [1.334, -5.140, 3.327]],
  "species": ["Na", "Mg", "In", "Na", "In"],
  "frac_coords": [[0.800, 0.798, 0.601], [0.000, 0.000, 0.000], [0.392, 0.397, 0.818], [0.200, 0.202, 0.399], [0.608, 0.603, 0.182]]
}



Entry 2:
{
  "formula": "Na4MgIn15",
  "functional": "PBE",
  "state": "optimized geometry",
  "final_energy_ev_per_cell": -49.36,
  "crystal_system": "tetragonal",
  "delta_e_f_mev_per_atom": -71,
  "lattice": [[4.686, 0.000, 0.000], [0.000, 4.686, 0.000], [0.000, 0.000, 24.012]],
  "species": ["In", "In", "Mg", "In", "In", "Na", "Na", "In", "In", "In", "In", "In", "In", "In", "In", "Na", "In", "Na", "In", "In"],
  "frac_coords": [[0.500, 0.500, 0.400], [0.000, 0.500, 0.700], [0.000, 0.000, 0.000], [0.500, 0.500, 0.201], [0.500, 0.000, 0.500], [0.000, 0.000, 0.199], [0.000, 0.000, 0.400], [0.000, 0.500, 0.903], [0.500, 0.000, 0.700], [0.500, 0.500, 0.799], [0.500, 0.000, 0.097], [0.000, 0.500, 0.097], [0.500, 0.000, 0.300], [0.500, 0.500, 0.000], [0.000, 0.500, 0.500], [0.000, 0.000, 0.600], [0.500, 0.500, 0.600], [0.000, 0.000, 0.801], [0.500, 0.000, 0.903], [0.000, 0.500, 0.300]]
}



Entry 3:
{
  "formula": "Na2Mg2In",
  "functional": "PBE",
  "state": "optimized geometry",
  "final_energy_ev_per_cell": -7.62,
  "crystal_system": "tetragonal",
  "delta_e_f_mev_per_atom": 189,
  "de_polymorph_ev_per_fu": 0.597,
  "lattice": [[4.187, 0.000, 0.000], [0.000, 4.187, 0.000], [2.094, 2.094, 8.201]],
  "species": ["Mg", "Na", "In", "Na", "Mg"],
  "frac_coords": [[0.590, 0.590, 0.821], [0.750, 0.250, 0.500], [0.000, 0.000, 0.000], [0.250, 0.750, 0.500], [0.410, 0.410, 0.179]]
}



Entry 4:
{
  "formula": "Na3Mg2In6",
  "functional": "PBE",
  "state": "optimized geometry",
  "final_energy_ev_per_cell": -24.31,
  "crystal_system": "tetragonal",
  "delta_e_f_mev_per_atom": -67,
  "lattice": [[4.490, 0.000, -0.689], [-0.106, 4.489, -0.689], [0.076, 0.077, 15.468]],
  "species": ["In", "In", "In", "In", "Na", "Mg", "In", "Na", "In", "Na", "Mg"],
  "frac_coords": [[0.676, 0.176, 0.353], [0.324, 0.824, 0.647], [0.824, 0.324, 0.647], [0.176, 0.676, 0.353], [0.417, 0.417, 0.834], [0.251, 0.251, 0.503], [0.897, 0.897, 0.794], [0.583, 0.583, 0.166], [0.103, 0.103, 0.206], [0.000, 0.000, 0.000], [0.749, 0.749, 0.497]]
}